1.
{
  "formula": "SrY2InRh",
  "functional": "PBE-GGA",
  "state": "relaxed",
  "e_tot_ev_per_atom": -5.30,
  "magnetic_moment_mub_per_cell": 0.00,
  "lattice_angstrom": [[-3.013, -3.451, -2.800], [4.123, -3.434, -0.204], [-1.660, -2.265, 4.576]],
  "species": ["In", "Rh", "Y", "Y", "Sr"],
  "fractional_positions": [[0.000, 0.000, 0.500], [0.000, 0.000, 0.000], [0.000, 0.500, 0.000], [0.500, 0.000, 0.000], [0.500, 0.500, 0.500]]
}

=====

2.
{
  "formula": "CaSO3",
  "functional": "PBE-GGA",
  "state": "relaxed",
  "magnetic_moment_mub_per_cell": 0.00,
  "raw_formation_energy_ev_per_atom": -2.102,
  "lattice_angstrom": [[-0.077, -4.232, 0.681], [3.662, 1.693, 1.451], [-3.566, 1.274, 7.511]],
  "species": ["O", "O", "O", "O", "O", "O", "S", "S", "Ca", "Ca"],
  "fractional_positions": [[0.983, 0.825, 0.750], [0.315, 0.693, 0.399], [0.693, 0.315, 0.601], [0.693, 0.315, 0.899], [0.825, 0.983, 0.250], [0.315, 0.693, 0.101], [0.660, 0.514, 0.750], [0.514, 0.660, 0.250], [0.117, 0.117, 0.000], [0.117, 0.117, 0.500]]
}

=====

3.
{
  "formula": "Tl2VCu2Te4",
  "functional": "PBE-GGA",
  "state": "relaxed",
  "magnetic_moment_mub_per_cell": 1.57,
  "raw_formation_energy_ev_per_atom": -0.209,
  "lattice_angstrom": [[-2.107, 0.372, 3.444], [1.713, -7.942, 1.905], [6.473, 4.308, 1.110]],
  "species": ["Te", "Te", "Te", "Te", "Tl", "Tl", "V", "Cu", "Cu"],
  "fractional_positions": [[0.483, 0.218, 0.966], [0.517, 0.782, 0.034], [0.808, 0.811, 0.616], [0.192, 0.189, 0.384], [0.131, 0.568, 0.263], [0.869, 0.432, 0.737], [0.000, 0.000, 0.000], [0.691, 0.988, 0.381], [0.309, 0.012, 0.619]]
}

=====

4.
{
  "formula": "BaCr2Pb",
  "functional": "PBE-GGA",
  "state": "relaxed",
  "e_tot_ev_per_atom": -5.39,
  "magnetic_moment_mub_per_cell": 19.19,
  "lattice_angstrom": [[-0.855, -2.293, -8.313], [-7.508, -3.912, 1.851], [-5.887, -0.133, -3.875]],
  "species": ["Cr", "Cr", "Cr", "Cr", "Ba", "Ba", "Pb", "Pb"],
  "fractional_positions": [[0.875, 0.941, 0.750], [0.375, 0.309, 0.750], [0.691, 0.125, 0.250], [0.059, 0.625, 0.250], [0.250, 0.750, 0.500], [0.500, 0.500, 0.000], [0.750, 0.250, 0.500], [0.000, 0.000, 0.000]]
}

=====

5.
{
  "formula": "BaPmCd6",
  "functional": "PBE-GGA",
  "state": "relaxed",
  "e_tot_ev_per_atom": -1.77,
  "magnetic_moment_mub_per_cell": 0.00,
  "lattice_angstrom": [[-3.214, 3.915, 1.580], [-1.658, 0.659, -5.005], [-5.497, -4.983, 1.165]],
  "species": ["Pm", "Cd", "Cd", "Cd", "Cd", "Cd", "Cd", "Ba"],
  "fractional_positions": [[0.500, 0.250, 0.500], [0.000, 0.250, 0.733], [0.000, 0.750, 0.500], [0.500, 0.750, 0.733], [0.000, 0.250, 0.267], [0.500, 0.250, 0.000], [0.500, 0.750, 0.267], [0.000, 0.750, 0.000]]
}

=====

6.
{
  "formula": "ReAs2Pb",
  "functional": "PBE-GGA",
  "state": "relaxed",
  "e_tot_ev_per_atom": -5.91,
  "magnetic_moment_mub_per_cell": 0.00,
  "lattice_angstrom": [[-1.967, -3.283, -4.670], [4.120, -3.979, -1.910], [-3.865, 1.988, 4.191]],
  "species": ["Re", "As", "As", "Pb"],
  "fractional_positions": [[0.250, 0.750, 0.500], [0.445, 0.445, 0.000], [0.055, 0.055, 0.000], [0.750, 0.250, 0.500]]
}

=====

7.
{
  "formula": "MnCdSbSe2",
  "functional": "PBE-GGA",
  "state": "relaxed",
  "magnetic_moment_mub_per_cell": 4.21,
  "raw_formation_energy_ev_per_atom": 0.815,
  "lattice_angstrom": [[5.157, 0.000, 0.000], [0.000, 5.621, 0.000], [0.000, 0.000, 5.157]],
  "species": ["Se", "Se", "Sb", "Mn", "Cd"],
  "fractional_positions": [[0.000, 0.000, 0.500], [0.500, 0.000, 0.000], [0.000, 0.500, 0.000], [0.500, 0.500, 0.500], [0.000, 0.000, 0.000]]
}

=====

8.
{
  "formula": "CaErH",
  "functional": "PBE-GGA",
  "state": "relaxed",
  "magnetic_moment_mub_per_cell": 0.47,
  "de_polymorph_ev_per_atom": 0.114,
  "lattice_angstrom": [[-2.970, 0.210, -2.063], [3.154, -1.013, -1.464], [-1.236, -5.600, 1.211]],
  "species": ["Er", "Ca", "H"],
  "fractional_positions": [[0.333, 0.667, 0.566], [0.000, 0.000, 0.076], [0.667, 0.333, 0.358]]
}

=====

9.
{
  "formula": "Y2ZnS",
  "functional": "PBE-GGA",
  "state": "relaxed",
  "magnetic_moment_mub_per_cell": 0.00,
  "raw_formation_energy_ev_per_atom": -0.655,
  "de_polymorph_ev_per_atom": 0.533,
  "lattice_angstrom": [[4.857, -1.103, -0.092], [1.670, -4.090, 2.302], [1.624, -3.876, -2.675]],
  "species": ["Zn", "S", "Y", "Y"],
  "fractional_positions": [[0.500, 0.500, 0.500], [0.000, 0.000, 0.000], [0.250, 0.250, 0.250], [0.750, 0.750, 0.750]]
}

=====

10.
{
  "formula": "GaOs2F2",
  "functional": "PBE-GGA",
  "state": "relaxed",
  "magnetic_moment_mub_per_cell": 0.00,
  "raw_formation_energy_ev_per_atom": -0.145,
  "de_polymorph_ev_per_atom": 0.000,
  "lattice_angstrom": [[3.389, 0.000, 0.000], [0.000, 3.389, 0.000], [1.695, 1.695, 5.726]],
  "species": ["F", "F", "Os", "Os", "Ga"],
  "fractional_positions": [[0.250, 0.750, 0.500], [0.750, 0.250, 0.500], [0.400, 0.400, 0.200], [0.600, 0.600, 0.800], [0.000, 0.000, 0.000]]
}

=====

11.
{
  "formula": "AcMgAg4",
  "functional": "PBE-GGA",
  "state": "relaxed",
  "magnetic_moment_mub_per_cell": 0.00,
  "de_polymorph_ev_per_atom": 0.000,
  "lattice_angstrom": [[-2.027, 0.940, 5.314], [-4.308, -3.232, 2.055], [1.013, -3.827, 4.191]],
  "species": ["Ag", "Ag", "Ag", "Ag", "Ac", "Mg"],
  "fractional_positions": [[0.626, 0.121, 0.626], [0.626, 0.626, 0.121], [0.121, 0.626, 0.626], [0.626, 0.626, 0.626], [0.250, 0.250, 0.250], [0.000, 0.000, 0.000]]
}

=====

12.
{
  "formula": "VCdSn",
  "functional": "PBE-GGA",
  "state": "relaxed",
  "magnetic_moment_mub_per_cell": 0.00,
  "de_polymorph_ev_per_atom": 0.000,
  "lattice_angstrom": [[-2.825, 1.503, 0.251], [-0.366, -1.182, 2.962], [5.611, 9.782, 4.597]],
  "species": ["Sn", "Sn", "V", "V", "Cd", "Cd"],
  "fractional_positions": [[0.000, 0.500, 0.305], [0.500, 0.000, 0.695], [0.000, 0.500, 0.546], [0.500, 0.000, 0.454], [0.000, 0.500, 0.908], [0.500, 0.000, 0.092]]
}